Material: Na2AlPb2
Method: DFT, PBE
State: optimized geometry

a b c (Å): 8.106 8.106 4.187
angles (deg): 90.00 90.00 90.00
Space group P4/mbm (No. 127)
One atom of each set of equivalent atoms:
Na 0.138 0.362 0.000 x4
Al 0.000 0.000 0.000 x2
Pb 0.164 0.664 0.500 x4

Values from the calculation:
- Raw total energy: -25.63 eV/cell
- Theoretical density: 5.9 g cm⁻³
- Spin magnetization: 0.00 μB per cell
- DFT formation energy: 19.0 kJ/mol of atoms